Entry 1:
First-principles (PBE+U) data for an optimized crystal structure of Na2Ti3MnO8, as listed in Alexandria via LeMat-Bulk.

Properties
crystal system: trigonal
E_tot: -7.797 eV per atom
D(E_F): 0.00 states/eV per cell

Lattice parameters (Å, degrees): 6.394 6.394 6.394 56.67 56.67 56.67
Sites, in units of the cell vectors:
Na1 0.000 0.000 0.000
Na2 0.374 0.374 0.374
Ti1 0.002 0.002 0.494
Ti2 0.002 0.494 0.002
Ti3 0.494 0.002 0.002
Mn1 0.617 0.617 0.617
O1 0.207 0.746 0.746
O2 0.234 0.234 0.234
O3 0.254 0.254 0.808
O4 0.254 0.808 0.254
O5 0.746 0.207 0.746
O6 0.746 0.746 0.207
O7 0.762 0.762 0.762
O8 0.808 0.254 0.254

---

Entry 2:
First-principles (PBE+U) data for an optimized crystal structure of Na2TiMnO5, as listed in Alexandria via LeMat-Bulk.

Properties
crystal system: orthorhombic
E_tot: -6.784 eV per atom

Lattice parameters (Å, degrees): 6.295 6.295 11.531 90.00 90.00 151.21
Sites, in units of the cell vectors:
Na1 0.079 0.921 0.500
Na2 0.157 0.843 0.103
Na3 0.843 0.157 0.603
Na4 0.921 0.079 0.000
Ti1 0.474 0.526 0.274
Ti2 0.526 0.474 0.774
Mn1 0.233 0.767 0.853
Mn2 0.767 0.233 0.353
O1 0.071 0.929 0.858
O2 0.263 0.737 0.460
O3 0.294 0.706 0.247
O4 0.387 0.613 0.837
O5 0.497 0.503 0.625
O6 0.503 0.497 0.125
O7 0.613 0.387 0.337
O8 0.706 0.294 0.747
O9 0.737 0.263 0.960
O10 0.929 0.071 0.358

---

Entry 3:
First-principles (PBE+U) data for an optimized crystal structure of Na2MnTl2O6, as listed in Alexandria via LeMat-Bulk.

Properties
crystal system: monoclinic
E_tot: -5.170 eV per atom

Lattice parameters (Å, degrees): 5.635 5.635 5.892 98.61 98.61 118.90
Sites, in units of the cell vectors:
Na1 0.158 0.842 0.000
Na2 0.842 0.158 0.000
Mn1 0.000 0.000 0.500
Tl1 0.336 0.664 0.500
Tl2 0.664 0.336 0.500
O1 0.054 0.349 0.700
O2 0.222 0.222 0.303
O3 0.349 0.054 0.700
O4 0.651 0.946 0.300
O5 0.778 0.778 0.697
O6 0.946 0.651 0.300

---

Entry 4:
First-principles (PBE+U) data for an optimized crystal structure of NaMnTlO4, as listed in Alexandria via LeMat-Bulk.

Properties
crystal system: orthorhombic
E_tot: -5.409 eV per atom
D(E_F): 1.25 states/eV per cell

Lattice parameters (Å, degrees): 6.424 6.424 6.424 121.08 117.59 91.18
Sites, in units of the cell vectors:
Na1 0.500 0.000 0.000
Na2 0.500 0.500 0.500
Mn1 0.122 0.372 0.750
Mn2 0.878 0.628 0.250
Tl1 0.000 0.000 0.000
Tl2 0.500 0.000 0.500
O1 0.204 0.730 0.474
O2 0.242 0.237 0.494
O3 0.242 0.748 0.006
O4 0.244 0.270 0.974
O5 0.756 0.730 0.026
O6 0.758 0.252 0.994
O7 0.758 0.763 0.506
O8 0.796 0.270 0.526

---

Entry 5:
First-principles (PBE+U) data for an optimized crystal structure of Na2MnTlO4, as listed in Alexandria via LeMat-Bulk.

Properties
crystal system: monoclinic
E_tot: -5.346 eV per atom
D(E_F): 0.36 states/eV per cell

Lattice parameters (Å, degrees): 5.568 3.331 5.750 90.00 107.45 90.00
Sites, in units of the cell vectors:
Na1 0.000 0.000 0.000
Na2 0.500 0.500 0.000
Mn1 0.000 0.500 0.500
Tl1 0.500 0.000 0.500
O1 0.219 0.500 0.289
O2 0.228 0.000 0.714
O3 0.772 0.000 0.286
O4 0.781 0.500 0.711

---

Entry 6:
First-principles (PBE+U) data for an optimized crystal structure of Na3Mn2TlO6, as listed in Alexandria via LeMat-Bulk.

Properties
crystal system: monoclinic
E_tot: -5.667 eV per atom

Lattice parameters (Å, degrees): 5.627 5.627 5.719 97.99 97.99 122.44
Sites, in units of the cell vectors:
Na1 0.000 0.000 0.000
Na2 0.334 0.666 0.000
Na3 0.666 0.334 0.000
Mn1 0.168 0.832 0.500
Mn2 0.832 0.168 0.500
Tl1 0.500 0.500 0.500
O1 0.055 0.410 0.294
O2 0.222 0.222 0.715
O3 0.410 0.055 0.294
O4 0.590 0.945 0.706
O5 0.778 0.778 0.285
O6 0.945 0.590 0.706

---

Calculated total magnetic moment (μB per formula unit), listed in the same order as above: 5.0; 3.0; 2.9; 3.0; 4.0; 8.0